1.
A plane-wave DFT calculation with GGA-PBE was carried out for HRuRh2W after structural relaxation.

abc: 3.881 3.881 3.982
angles: 90.00 90.00 90.00
Fractional coordinates of all 5 atoms:
H 0.000 0.000 0.000
W 0.500 0.500 0.500
Rh 0.000 0.500 0.000
Rh 0.500 0.000 0.000
Ru 0.000 0.000 0.500

Results
SG   No. 123
D(E_F)   2.89 states/eV/f.u.



2.
A plane-wave DFT calculation with GGA-PBE was carried out for HRuRhW2 after structural relaxation.

abc: 4.002 4.002 3.880
angles: 90.00 90.00 90.00
Fractional coordinates of all 5 atoms:
W 0.000 0.500 0.000
W 0.500 0.000 0.000
Rh 0.000 0.000 0.500
Ru 0.500 0.500 0.500
H 0.000 0.000 0.000

Results
SG   No. 123
D(E_F)   2.39 states/eV/f.u.



3.
A plane-wave DFT calculation with GGA-PBE was carried out for Zn2HRuRh after structural relaxation.

abc: 4.219 4.219 3.319
angles: 90.00 90.00 90.00
Fractional coordinates of all 5 atoms:
Ru 0.000 0.000 0.500
Zn 0.500 0.000 0.000
Zn 0.000 0.500 0.000
Rh 0.500 0.500 0.500
H 0.000 0.000 0.000

Results
SG   No. 123
D(E_F)   4.20 states/eV/f.u.



4.
A plane-wave DFT calculation with GGA-PBE was carried out for Zr2HRuRh after structural relaxation.

abc: 4.546 4.546 3.576
angles: 90.00 90.00 90.00
Fractional coordinates of all 5 atoms:
Ru 0.500 0.500 0.500
Zr 0.000 0.500 0.000
Zr 0.500 0.000 0.000
H 0.000 0.000 0.000
Rh 0.000 0.000 0.500

Results
SG   No. 123
D(E_F)   3.88 states/eV/f.u.



5.
A plane-wave DFT calculation with GGA-PBE was carried out for Zr2HRuRh after structural relaxation.

abc: 4.525 4.525 3.608
angles: 90.00 90.00 90.00
Fractional coordinates of all 5 atoms:
Zr 0.000 0.500 0.000
Zr 0.500 0.000 0.000
H 0.000 0.000 0.000
Ru 0.000 0.000 0.500
Rh 0.500 0.500 0.500

Results
SG   No. 123
D(E_F)   3.30 states/eV/f.u.



6.
A plane-wave DFT calculation with GGA-PBE was carried out for HRhS4 after structural relaxation.

abc: 7.616 7.616 7.028
angles: 76.94 76.94 132.40
Fractional coordinates of all 12 atoms:
S 0.732 0.884 0.650
S 0.884 0.732 0.150
S 0.259 0.919 0.930
S 0.741 0.081 0.070
S 0.268 0.116 0.350
S 0.081 0.741 0.570
S 0.919 0.259 0.430
S 0.116 0.268 0.850
H 0.601 0.399 0.250
H 0.399 0.601 0.750
Rh 0.952 0.048 0.250
Rh 0.048 0.952 0.750

Results
SG   No. 15



7.
A plane-wave DFT calculation with GGA-PBE was carried out for HRh2S after structural relaxation.

abc: 3.899 3.899 5.320
angles: 68.51 68.51 60.00
Fractional coordinates of all 4 atoms:
Rh 0.883 0.883 0.352
Rh 0.117 0.117 0.648
S 0.500 0.500 0.500
H 0.000 0.000 0.000

Results
SG   No. 166
D(E_F)   2.02 states/eV/f.u.



8.
A plane-wave DFT calculation with GGA-PBE was carried out for H3RhS after structural relaxation.

abc: 3.457 3.457 3.457
angles: 90.00 90.00 90.00
Fractional coordinates of all 5 atoms:
H 0.500 0.000 0.000
H 0.000 0.500 0.000
H 0.000 0.000 0.500
Rh 0.500 0.500 0.500
S 0.000 0.000 0.000

Results
SG   No. 221
D(E_F)   3.06 states/eV/f.u.



| no. | calculated total energy (eV per atom) |
| --- | --- |
| 1 | -8.15 |
| 2 | -9.17 |
| 3 | -4.53 |
| 4 | -7.95 |
| 5 | -7.96 |
| 6 | -4.51 |
| 7 | -5.46 |
| 8 | -3.35 |